# 1
Mg3P: relaxed, PBE.

Geometry as POSCAR:
```
Mg3P
1.0
-1.8868 4.1091 2.7516
1.8868 -4.1091 2.7516
1.8868 4.1091 -2.7516
Mg P
3 1
direct
0.0000 0.0000 0.0000
0.2745 0.4681 0.8064
0.6617 0.4681 0.1936
0.6801 0.1801 0.5000
```

Total energy   -2.7006 eV per atom
Space-group type   Imm2 (44)
Formation energy   -59 kJ/mol of formula units

---

# 2
Er6ScTl5: relaxed, PBE.

Geometry as POSCAR:
```
Er6ScTl5
1.0
-2.6634 3.7459 8.0791
2.6634 -3.7459 8.0791
2.6634 3.7459 -8.0791
Er Sc Tl
6 1 5
direct
0.0763 0.3301 0.7463
0.2395 0.0000 0.2395
0.4162 0.6699 0.7463
0.5838 0.3301 0.2537
0.7605 0.0000 0.7605
0.9237 0.6699 0.2537
0.5000 0.5000 0.0000
0.0000 0.5000 0.5000
0.1688 0.1688 0.0000
0.3484 0.8484 0.5000
0.6516 0.1516 0.5000
0.8312 0.8312 0.0000
```

Total energy   -4.0447 eV per atom
Space-group type   Immm (71)
Formation energy   -289 kJ/mol of formula units

---

# 3
ErZr2UAs4: relaxed, PBE.

Geometry as POSCAR:
```
ErZr2UAs4
1.0
6.8740 0.0000 0.0000
0.0000 3.9514 0.0000
-2.2567 0.0000 6.5009
Er Zr U As
1 2 1 4
direct
0.0000 0.0000 0.0000
0.0000 0.5000 0.5000
0.5000 0.0000 0.5000
0.5000 0.5000 0.0000
0.2457 0.0000 0.7391
0.2541 0.5000 0.2596
0.7459 0.5000 0.7404
0.7543 0.0000 0.2609
```

Total energy   -7.5775 eV per atom
Space-group type   P2/m (10)
Formation energy   -876 kJ/mol of formula units

---

# 4
YAgPb2: relaxed, PBE.

Geometry as POSCAR:
```
YAgPb2
1.0
2.4424 -2.9928 0.0000
2.4424 2.9928 0.0000
0.0000 0.0000 7.3037
Y Ag Pb
1 1 2
direct
0.0000 0.0000 0.0000
0.0000 0.0000 0.5000
0.5000 0.5000 0.2725
0.5000 0.5000 0.7275
```

Total energy   -4.3167 eV per atom
Space-group type   Cmmm (65)
Formation energy   -52 kJ/mol of formula units

---

# 5
DyTm2CuSe5: relaxed, PBE.

Geometry as POSCAR:
```
DyTm2CuSe5
1.0
1.9744 -8.7503 0.0000
1.9744 8.7503 0.0000
0.0000 0.0000 11.8963
Dy Tm Cu Se
2 4 2 10
direct
0.1922 0.8078 0.5000
0.8078 0.1922 0.0000
0.1064 0.8936 0.1729
0.1197 0.8803 0.7948
0.8803 0.1197 0.2948
0.8936 0.1064 0.6729
0.4360 0.5640 0.9472
0.5640 0.4360 0.4472
0.0406 0.9594 0.5579
0.2894 0.7106 0.1704
0.3181 0.6819 0.8290
0.3575 0.6425 0.4909
0.4976 0.5024 0.2714
0.5024 0.4976 0.7714
0.6425 0.3575 0.9909
0.6819 0.3181 0.3290
0.7106 0.2894 0.6704
0.9594 0.0406 0.0579
```

Total energy   -5.3803 eV per atom
Space-group type   Cmc2_1 (36)
Formation energy without anion corrections   -13.4 eV per formula unit

---

# 6
Li2Mg4Ga: relaxed, PBE.

Geometry as POSCAR:
```
Li2Mg4Ga
1.0
2.4114 1.3922 6.8666
-2.4114 1.3922 6.8666
0.0000 -2.7845 6.8666
Li Mg Ga
2 4 1
direct
0.2140 0.2140 0.2140
0.7860 0.7860 0.7860
0.0781 0.0781 0.0781
0.3601 0.3601 0.3601
0.6399 0.6399 0.6399
0.9219 0.9219 0.9219
0.5000 0.5000 0.5000
```

Total energy   -1.9686 eV per atom
Space-group type   R-3m (166)
Formation energy   -53 kJ/mol of formula units
Energy above the most stable polymorph in this dataset   0 meV/atom

---

# 7
La6Si2TeBr3: relaxed, PBE.

Geometry as POSCAR:
```
La6Si2TeBr3
1.0
9.6489 -2.2119 0.0000
9.6489 2.2119 0.0000
-1.9049 0.0000 8.7086
La Si Te Br
6 2 1 3
direct
0.0138 0.0138 0.2615
0.3265 0.3265 0.4328
0.3291 0.3291 0.8833
0.6709 0.6709 0.1167
0.6735 0.6735 0.5672
0.9862 0.9862 0.7385
0.1684 0.1684 0.3358
0.8316 0.8316 0.6642
0.5000 0.5000 0.0000
0.1625 0.1625 0.8341
0.5000 0.5000 0.5000
0.8375 0.8375 0.1659
```

Total energy   -5.3074 eV per atom
Space-group type   C2/m (12)
Formation energy without anion corrections   -15.1 eV per formula unit

---

# 8
Ca4ZrHg: relaxed, PBE.

Geometry as POSCAR:
```
Ca4ZrHg
1.0
0.0000 4.6535 4.6535
4.6535 0.0000 4.6535
4.6535 4.6535 0.0000
Ca Zr Hg
4 1 1
direct
0.1254 0.1254 0.1254
0.1254 0.1254 0.6239
0.1254 0.6239 0.1254
0.6239 0.1254 0.1254
0.5000 0.5000 0.5000
0.7500 0.7500 0.7500
```

Total energy   -2.2695 eV per atom
Space-group type   F-43m (216)
Formation energy   313 kJ/mol of formula units

---

# 9
AcPu2Si4: relaxed, PBE.

Geometry as POSCAR:
```
AcPu2Si4
1.0
-1.9813 2.2264 8.9477
1.9813 -2.2264 8.9477
1.9813 2.2264 -8.9477
Ac Pu Si
1 2 4
direct
0.0000 0.0000 0.0000
0.1863 0.6863 0.5000
0.8137 0.3137 0.5000
0.3532 0.8532 0.5000
0.4303 0.4303 0.0000
0.5697 0.5697 0.0000
0.6468 0.1468 0.5000
```

Total energy   -8.2629 eV per atom
Space-group type   Immm (71)
Formation energy without anion corrections   -3.4 eV per formula unit

---

# 10
CrRhSN2: relaxed, PBE.

Geometry as POSCAR:
```
CrRhSN2
1.0
3.5940 0.0000 0.0000
0.0000 3.5940 0.0000
0.0000 0.0000 4.9116
Cr Rh S N
1 1 1 2
direct
0.0000 0.0000 0.0000
0.5000 0.5000 0.5000
0.0000 0.0000 0.5000
0.0000 0.5000 0.0000
0.5000 0.0000 0.0000
```

Total energy   -6.9095 eV per atom
Space-group type   P4/mmm (123)
Formation energy without anion corrections   3.2 eV per formula unit
Energy above the most stable polymorph in this dataset   0 meV/atom

---

# 11
Mn22AlC6: relaxed, PBE.

Geometry as POSCAR:
```
Mn22AlC6
1.0
0.0000 5.2066 5.2066
5.2066 0.0000 5.2066
5.2066 5.2066 0.0000
Mn Al C
22 1 6
direct
0.0000 0.0000 0.3422
0.0000 0.0000 0.6578
0.0000 0.3422 0.0000
0.0000 0.3422 0.6578
0.0000 0.6578 0.0000
0.0000 0.6578 0.3422
0.1471 0.6176 0.6176
0.2500 0.2500 0.2500
0.3422 0.0000 0.0000
0.3422 0.0000 0.6578
0.3422 0.6578 0.0000
0.3824 0.3824 0.3824
0.3824 0.3824 0.8529
0.3824 0.8529 0.3824
0.6176 0.1471 0.6176
0.6176 0.6176 0.1471
0.6176 0.6176 0.6176
0.6578 0.0000 0.0000
0.6578 0.0000 0.3422
0.6578 0.3422 0.0000
0.7500 0.7500 0.7500
0.8529 0.3824 0.3824
0.0000 0.0000 0.0000
0.2775 0.2775 0.7225
0.2775 0.7225 0.2775
0.2775 0.7225 0.7225
0.7225 0.2775 0.2775
0.7225 0.2775 0.7225
0.7225 0.7225 0.2775
```

Total energy   -9.0892 eV per atom
Space-group type   Fm-3m (225)
Formation energy   -267 kJ/mol of formula units

---

# 12
YTlAs2: relaxed, PBE.

Geometry as POSCAR:
```
YTlAs2
1.0
5.1052 -1.7922 0.0000
5.1052 1.7922 0.0000
-1.3067 0.0000 5.7477
Y Tl As
1 1 2
direct
0.0000 0.0000 0.0000
0.5000 0.5000 0.5000
0.2594 0.2594 0.8448
0.7406 0.7406 0.1552
```

Total energy   -4.9197 eV per atom
Space-group type   C2/m (12)
Formation energy   -149 kJ/mol of formula units
Energy above the most stable polymorph in this dataset   233 meV/atom